[1]
First-principles (PBE-GGA) data for Cu2SiP after structural relaxation, as listed in Alexandria via LeMat-Bulk.

Structure (POSCAR):
```
Cu2SiP
1.0
2.589 0.000 0.000
0.000 4.109 0.000
-0.130 0.000 5.202
Cu Si P
2 1 1
Direct
0.013 0.000 0.250 Cu
0.987 0.000 0.750 Cu
0.000 0.500 0.500 Si
0.000 0.500 0.000 P
```

## Properties
Magnetic moment ... 0.00 μB/f.u.
Raw formation energy ... 0.173 eV/atom
Density of states at the Fermi level ... 0.154 states/eV/atom
Total energy ... -0.3369 Ry per atom

=====

[2]
First-principles (PBE-GGA) data for HIrPb after structural relaxation, as listed in Alexandria via LeMat-Bulk.

Structure (POSCAR):
```
HIrPb
1.0
5.114 -1.662 0.000
5.114 1.662 0.000
-1.233 0.000 5.527
H Ir Pb
2 2 2
Direct
0.115 0.115 0.250 H
0.885 0.885 0.750 H
0.325 0.325 0.689 Ir
0.675 0.675 0.311 Ir
0.386 0.386 0.204 Pb
0.614 0.614 0.796 Pb
```

## Properties
Magnetic moment ... 0.00 μB/f.u.
Density of states at the Fermi level ... 0.298 states/eV/atom
Total energy ... -0.3764 Ry per atom

=====

[3]
First-principles (PBE-GGA) data for AcLa3Pr4Te8 after structural relaxation, as listed in Alexandria via LeMat-Bulk.

Structure (POSCAR):
```
AcLa3Pr4Te8
1.0
4.591 2.651 7.437
-4.591 2.651 7.437
0.000 -5.301 7.437
Ac La Pr Te
1 3 4 8
Direct
0.000 0.000 0.000 Ac
0.000 0.500 0.500 La
0.500 0.000 0.500 La
0.500 0.500 0.000 La
0.000 0.000 0.500 Pr
0.000 0.500 0.000 Pr
0.500 0.000 0.000 Pr
0.500 0.500 0.500 Pr
0.249 0.249 0.249 Te
0.252 0.746 0.746 Te
0.254 0.254 0.748 Te
0.254 0.748 0.254 Te
0.746 0.252 0.746 Te
0.746 0.746 0.252 Te
0.748 0.254 0.254 Te
0.751 0.751 0.751 Te
```

## Properties
Magnetic moment ... 0.00 μB/f.u.
Raw formation energy ... -1.503 eV/atom
Density of states at the Fermi level ... 0.779 states/eV/atom
Total energy ... -0.4005 Ry per atom

=====

The highest total energy belongs to which entry?
Cu2SiP

=====

Please write out number 1 again, unchanged.
First-principles (PBE-GGA) data for Cu2SiP after structural relaxation, as listed in Alexandria via LeMat-Bulk.

Structure (POSCAR):
```
Cu2SiP
1.0
2.589 0.000 0.000
0.000 4.109 0.000
-0.130 0.000 5.202
Cu Si P
2 1 1
Direct
0.013 0.000 0.250 Cu
0.987 0.000 0.750 Cu
0.000 0.500 0.500 Si
0.000 0.500 0.000 P
```

## Properties
Magnetic moment ... 0.00 μB/f.u.
Raw formation energy ... 0.173 eV/atom
Density of states at the Fermi level ... 0.154 states/eV/atom
Total energy ... -0.3369 Ry per atom

=====

Which of these has the lowest density of states at the Fermi level?
Cu2SiP

=====

Number 1 is which compound?
Cu2SiP